Crystalline AcSb2P2Pt7 at its relaxed geometry. Source: Alexandria, functional PBE-GGA.

```
data_AcSb2P2Pt7
_space_group_name_H-M_alt 'C 1 2/m 1'
_space_group_IT_number 12
_space_group_name_Hall '-C 2y'
_cell_length_a 5.6643
_cell_length_b 6.8647
_cell_length_c 12.5670
_cell_angle_alpha 90.00
_cell_angle_beta 95.31
_cell_angle_gamma 90.00
loop_
_atom_site_label
_atom_site_type_symbol
_atom_site_fract_x
_atom_site_fract_y
_atom_site_fract_z
Ac1 Ac 0.0000 0.0000 0.0000
Sb1 Sb 0.1701 0.0000 0.6185
P1 P 0.1881 0.5000 0.7628
Pt1 Pt 0.0000 0.5000 0.0000
Pt2 Pt 0.1474 0.3011 0.1926
Pt3 Pt 0.1871 0.5000 0.5783
```

## Properties
- uncorrected energy (eV/atom) = -5.935
- formation energy without anion corrections (eV/atom) = -0.481
- N(E_F) (states/eV/cell) = 13.249